The following is a DFT calculation (PBE+U) of a relaxed Al2NiO4 crystal.

Results
Crystal system: monoclinic
Total magnetic moment: 0.286 μB/atom
Total DFT energy (no corrections): -376.7 eV/cell

Cell and atoms, written as POSCAR:
```
Al2NiO4
1.0
-4.936 -2.528 1.568
-0.962 -1.260 5.541
-9.811 15.504 4.867
Al Ni O
16 8 32
Cartesian
-5.908 -3.739 7.103
-2.448 0.835 4.309
-4.472 0.189 2.286
-3.976 2.961 3.033
-6.134 7.706 3.678
-6.407 3.753 7.318
-8.411 3.113 5.315
-9.987 10.608 6.606
-5.717 1.124 5.360
-9.324 7.944 4.706
-7.338 8.578 6.690
-9.609 3.992 8.339
-13.202 10.875 7.666
-11.231 11.503 9.636
-7.594 10.738 4.170
-11.556 13.732 7.178
-4.147 -2.042 4.800
-1.962 1.470 1.493
-8.148 0.949 7.848
-5.922 4.388 4.524
-9.810 7.319 7.478
-7.868 5.838 6.007
-13.693 10.259 10.424
-11.750 8.797 8.947
-2.763 -0.756 5.251
-7.250 -0.744 7.490
-4.900 -1.438 3.115
-5.532 -2.095 6.202
-5.756 3.444 2.749
-4.393 1.242 3.998
-4.954 0.596 6.939
-5.385 6.086 3.445
-3.938 4.024 4.566
-2.551 -0.166 2.605
-7.022 -0.064 4.872
-3.625 4.601 2.158
-9.810 6.385 5.673
-8.324 4.069 7.029
-7.935 4.675 4.334
-7.809 7.024 7.674
-6.498 2.736 5.627
-9.230 8.972 6.371
-5.925 5.317 6.344
-7.419 7.607 4.994
-8.768 11.835 7.044
-12.211 7.053 9.965
-13.029 11.775 9.276
-11.820 7.635 7.281
-10.718 11.212 5.094
-10.381 5.656 8.580
-11.264 10.554 7.900
-9.815 8.274 9.285
-10.228 13.861 5.809
-10.783 13.197 8.757
-8.382 12.403 4.427
-12.858 12.535 6.682
```